1.
Crystalline LiTi4Pd7 at its relaxed geometry. Source: the Alexandria database, functional PBE.

Values from the calculation:
**DFT total energy**: -6.19 eV per atom
**Space group**: No. 12

a b c (Å): 4.583 8.553 5.767
angles (deg): 79.30 66.59 74.46
Positions (direct):
Li  0.000  0.000  0.000
Ti  0.587  0.223  0.603
Ti  0.413  0.777  0.397
Ti  0.744  0.669  0.844
Ti  0.256  0.331  0.156
Pd  0.790  0.907  0.514
Pd  0.210  0.093  0.486
Pd  0.073  0.667  0.186
Pd  0.927  0.333  0.814
Pd  0.363  0.537  0.737
Pd  0.500  0.000  0.000
Pd  0.637  0.463  0.263

2.
Crystalline Cs3NpS3 at its relaxed geometry. Source: the Alexandria database, functional PBE.

Values from the calculation:
**DFT total energy**: -5.12 eV per atom
**Formation energy (no corrections)**: -1.133 eV per atom
**Space group**: No. 12
**Excess energy over the best structure of this formula in the dataset**: 28 meV/atom

a b c (Å): 8.389 8.389 9.093
angles (deg): 101.02 101.02 113.00
Last column: magnetic moment on the atom in μB.
Positions (direct):
Cs  0.609  0.609  0.371  0.00
Cs  0.179  0.821  0.500  0.00
Cs  0.821  0.179  0.500  0.00
Cs  0.295  0.705  0.000  0.00
Cs  0.705  0.295  0.000  0.00
Cs  0.391  0.391  0.629  0.00
Np  0.891  0.891  0.889  0.94
Np  0.109  0.109  0.111  0.94
S  0.842  0.842  0.162  -0.01
S  0.868  0.592  0.724  -0.02
S  0.592  0.868  0.724  -0.02
S  0.132  0.408  0.276  -0.02
S  0.408  0.132  0.276  -0.02
S  0.158  0.158  0.838  -0.01

3.
Crystalline V3Tc5P12 at its relaxed geometry. Source: the Alexandria database, functional PBE.

Values from the calculation:
**DFT total energy**: -7.18 eV per atom
**Space group**: No. 230

a b c (Å): 11.959 11.959 11.959
angles (deg): 109.47 109.47 109.47
Last column: magnetic moment on the atom in μB.
Positions (direct):
V  0.750  0.375  0.125  -0.01
V  0.875  0.750  0.125  -0.01
V  0.375  0.750  0.625  -0.01
V  0.250  0.125  0.375  -0.01
V  0.875  0.125  0.250  -0.01
V  0.375  0.625  0.250  -0.01
V  0.625  0.375  0.750  -0.01
V  0.125  0.875  0.750  -0.01
V  0.750  0.875  0.625  -0.01
V  0.625  0.250  0.375  -0.01
V  0.125  0.250  0.875  -0.01
V  0.250  0.625  0.875  -0.01
Tc  0.125  0.375  0.250  -0.01
Tc  0.000  0.500  0.000  0.46
Tc  0.000  0.000  0.000  0.46
Tc  0.375  0.250  0.125  -0.01
Tc  0.500  0.000  0.500  0.46
Tc  0.500  0.500  0.000  0.46
Tc  0.125  0.750  0.375  -0.01
Tc  0.750  0.125  0.875  -0.01
Tc  0.750  0.625  0.375  -0.01
Tc  0.375  0.125  0.750  -0.01
Tc  0.625  0.875  0.250  -0.01
Tc  0.500  0.500  0.500  0.46
Tc  0.500  0.000  0.000  0.46
Tc  0.000  0.000  0.500  0.46
Tc  0.250  0.375  0.625  -0.01
Tc  0.250  0.875  0.125  -0.01
Tc  0.000  0.500  0.500  0.46
Tc  0.875  0.250  0.625  -0.01
Tc  0.625  0.750  0.875  -0.01
Tc  0.875  0.625  0.750  -0.01
P  0.739  0.134  0.063  0.00
P  0.324  0.563  0.429  0.00
P  0.937  0.366  0.261  0.00
P  0.563  0.239  0.134  0.00
P  0.605  0.739  0.676  0.00
P  0.937  0.571  0.176  0.00
P  0.324  0.761  0.395  0.00
P  0.071  0.895  0.134  0.00
P  0.571  0.937  0.676  0.00
P  0.739  0.605  0.176  0.00
P  0.761  0.437  0.366  0.00
P  0.824  0.929  0.063  0.00
P  0.134  0.739  0.563  0.00
P  0.366  0.429  0.105  0.00
P  0.105  0.929  0.366  0.00
P  0.395  0.134  0.571  0.00
P  0.105  0.176  0.239  0.00
P  0.437  0.676  0.071  0.00
P  0.824  0.895  0.261  0.00
P  0.134  0.395  0.071  0.00
P  0.366  0.937  0.761  0.00
P  0.571  0.634  0.395  0.00
P  0.929  0.824  0.563  0.00
P  0.761  0.324  0.895  0.00
P  0.429  0.366  0.605  0.00
P  0.071  0.176  0.437  0.00
P  0.239  0.676  0.105  0.00
P  0.176  0.105  0.739  0.00
P  0.634  0.063  0.239  0.00
P  0.866  0.605  0.929  0.00
P  0.563  0.324  0.929  0.00
P  0.605  0.866  0.429  0.00
P  0.895  0.824  0.761  0.00
P  0.895  0.071  0.634  0.00
P  0.866  0.261  0.437  0.00
P  0.176  0.071  0.937  0.00
P  0.634  0.571  0.895  0.00
P  0.429  0.063  0.324  0.00
P  0.261  0.395  0.824  0.00
P  0.239  0.563  0.634  0.00
P  0.929  0.105  0.866  0.00
P  0.676  0.239  0.605  0.00
P  0.437  0.761  0.866  0.00
P  0.063  0.429  0.824  0.00
P  0.395  0.261  0.324  0.00
P  0.063  0.634  0.739  0.00
P  0.676  0.437  0.571  0.00
P  0.261  0.866  0.937  0.00

4.
Crystalline TiRh2NO at its relaxed geometry. Source: the Alexandria database, functional PBE.

Values from the calculation:
**DFT total energy**: -6.57 eV per atom
**Formation energy (no corrections)**: 0.609 eV per atom
**Space group**: No. 123

a b c (Å): 3.769 4.939 3.769
angles (deg): 90.00 90.00 90.00
Last column: magnetic moment on the atom in μB.
Positions (direct):
N  0.000  0.500  0.000  0.65
Rh  0.000  0.000  0.500  0.22
Rh  0.500  0.000  0.000  0.32
O  0.000  0.000  0.000  0.15
Ti  0.500  0.500  0.500  -0.65

5.
Crystalline Si2PbSe4 at its relaxed geometry. Source: the Alexandria database, functional PBE.

Values from the calculation:
**DFT total energy**: -4.27 eV per atom
**Formation energy (no corrections)**: -0.198 eV per atom
**Space group**: No. 87

a b c (Å): 6.375 6.375 6.375
angles (deg): 103.45 103.45 122.33
Positions (direct):
Si  0.250  0.750  0.500
Si  0.750  0.250  0.500
Pb  0.500  0.500  0.000
Se  0.320  0.146  0.467
Se  0.854  0.320  0.174
Se  0.146  0.680  0.826
Se  0.680  0.854  0.533

6.
Crystalline NaNbP2 at its relaxed geometry. Source: the Alexandria database, functional PBE.

Values from the calculation:
**DFT total energy**: -6.04 eV per atom
**Space group**: No. 166
**Excess energy over the best structure of this formula in the dataset**: 0 meV/atom

a b c (Å): 3.457 3.457 7.678
angles (deg): 76.99 76.99 60.00
Positions (direct):
P  0.262  0.262  0.213
P  0.738  0.738  0.787
Nb  0.000  0.000  0.000
Na  0.500  0.500  0.500

7.
Crystalline LaMg2Sn2 at its relaxed geometry. Source: the Alexandria database, functional PBE.

Values from the calculation:
**DFT total energy**: -3.68 eV per atom
**Space group**: No. 123
**Excess energy over the best structure of this formula in the dataset**: 25 meV/atom

a b c (Å): 4.491 4.491 6.710
angles (deg): 90.00 90.00 90.00
Positions (direct):
La  0.000  0.000  0.000
Mg  0.500  0.000  0.500
Mg  0.000  0.500  0.500
Sn  0.500  0.500  0.787
Sn  0.500  0.500  0.213

8.
Crystalline RePOs2 at its relaxed geometry. Source: the Alexandria database, functional PBE.

Values from the calculation:
**DFT total energy**: -9.60 eV per atom
**Space group**: No. 119

a b c (Å): 4.669 4.669 4.669
angles (deg): 131.38 131.38 71.22
Positions (direct):
Re  0.750  0.250  0.500
P  0.500  0.500  0.000
Os  0.000  0.000  0.000
Os  0.250  0.750  0.500